Record 1
First-principles (PBE) data for a geometry-optimized SnSCl2 structure, as listed in the Alexandria database.

Properties
Raw formation energy = 62 meV per atom
N(E_F) = 0.70 states/eV/atom
Distance to the lowest polymorph of the same formula = 655 meV per atom

abc: 5.083 5.083 5.083
angles: 60.00 60.00 60.00
Last column: magnetic moment on the atom in μB.
Fractional positions:
S 0.000 0.000 0.000  0.98
Sn 0.500 0.500 0.500  -0.01
Cl 0.250 0.250 0.250  0.20
Cl 0.750 0.750 0.750  0.20

Record 2
First-principles (PBE) data for a geometry-optimized Be2AgGeSb structure, as listed in the Alexandria database.

Properties
Raw formation energy = 819 meV per atom
N(E_F) = 0.54 states/eV/atom

abc: 4.446 5.060 4.446
angles: 90.00 90.00 90.00
Fractional positions:
Sb 0.500 0.500 0.500
Ge 0.000 0.500 0.000
Ag 0.000 0.000 0.000
Be 0.000 0.000 0.500
Be 0.500 0.000 0.000

Record 3
First-principles (PBE) data for a geometry-optimized Pm6GaIr2Br3 structure, as listed in the Alexandria database.

Properties
Raw formation energy = -1028 meV per atom
N(E_F) = 0.34 states/eV/atom

abc: 4.144 9.073 10.069
angles: 108.48 101.88 90.00
Fractional positions:
Pm 0.342 0.877 0.683
Pm 0.681 0.561 0.362
Pm 0.658 0.123 0.317
Pm 0.019 0.244 0.038
Pm 0.981 0.756 0.962
Pm 0.319 0.439 0.638
Ga 0.500 0.000 0.000
Ir 0.832 0.660 0.664
Ir 0.168 0.340 0.336
Br 0.500 0.500 0.000
Br 0.838 0.159 0.676
Br 0.162 0.841 0.324

Record 4
First-principles (PBE) data for a geometry-optimized Er4Zn2Ga structure, as listed in the Alexandria database.

Properties
Formation energy from the elements = -246 meV/atom
N(E_F) = 1.32 states/eV/atom
Distance to the lowest polymorph of the same formula = 62 meV per atom

abc: 7.631 7.631 7.631
angles: 109.04 110.34 109.04
Fractional positions:
Er 0.123 0.891 0.372
Er 0.628 0.752 0.520
Er 0.982 0.609 0.730
Er 0.270 0.252 0.878
Er 0.627 0.748 0.018
Er 0.768 0.248 0.877
Er 0.480 0.109 0.232
Er 0.122 0.391 0.373
Zn 0.875 0.129 0.504
Zn 0.496 0.371 0.625
Zn 0.375 0.871 0.746
Zn 0.254 0.629 0.125
Ga 0.000 0.000 0.000
Ga 0.750 0.500 0.250

Record 5
First-principles (PBE) data for a geometry-optimized TbNi5P3 structure, as listed in the Alexandria database.

Properties
Formation energy from the elements = -776 meV/atom
N(E_F) = 0.61 states/eV/atom

abc: 3.567 6.086 11.432
angles: 90.00 90.00 107.04
Fractional positions:
Tb 0.842 0.684 0.750
Tb 0.158 0.316 0.250
Ni 0.799 0.598 0.427
Ni 0.201 0.402 0.927
Ni 0.000 0.000 0.500
Ni 0.000 0.000 0.000
Ni 0.449 0.899 0.145
Ni 0.551 0.101 0.855
Ni 0.551 0.101 0.645
Ni 0.799 0.598 0.073
Ni 0.201 0.402 0.573
Ni 0.449 0.899 0.355
P 0.382 0.765 0.957
P 0.881 0.763 0.250
P 0.382 0.765 0.543
P 0.618 0.235 0.457
P 0.119 0.237 0.750
P 0.618 0.235 0.043

Record 6
First-principles (PBE) data for a geometry-optimized AlCl structure, as listed in the Alexandria database.

Properties
Raw formation energy = -326 meV per atom

abc: 3.575 4.882 6.308
angles: 90.00 90.00 90.00
Fractional positions:
Al 0.000 0.000 0.134
Al 0.500 0.500 0.616
Cl 0.000 0.000 0.521
Cl 0.500 0.500 0.229

Record 7
First-principles (PBE) data for a geometry-optimized SrNiSn2 structure, as listed in the Alexandria database.

Properties
Formation energy from the elements = -448 meV/atom
N(E_F) = 0.37 states/eV/atom

abc: 4.357 4.357 6.722
angles: 71.09 71.09 60.00
Fractional positions:
Sr 0.500 0.500 0.500
Sn 0.286 0.286 0.143
Sn 0.714 0.714 0.857
Ni 0.000 0.000 0.000

Record 8
First-principles (PBE) data for a geometry-optimized SrMgNbN2 structure, as listed in the Alexandria database.

Properties
Raw formation energy = 297 meV per atom
N(E_F) = 0.58 states/eV/atom

abc: 4.268 5.076 4.268
angles: 90.00 90.00 90.00
Fractional positions:
Sr 0.500 0.500 0.500
Nb 0.000 0.000 0.000
Mg 0.000 0.500 0.000
N 0.000 0.000 0.500
N 0.500 0.000 0.000